Run A
Below is a geometry-optimized PmAsPt structure, with properties calculated at the GGA-PBE level.

a = 6.532 Å, b = 6.532 Å, c = 6.532 Å
α = 90.00°, β = 90.00°, γ = 90.00°
Space group F-43m (No. 216)
Symmetry-distinct sites (fractional):
1 Pm 0.000 0.000 0.000 [4 per cell]
2 As 0.000 0.000 0.500 [4 per cell]
3 Pt 0.250 0.250 0.750 [4 per cell]

***

Run B
Below is a geometry-optimized PmAsPt structure, with properties calculated at the GGA-PBE level.

a = 4.3162 Å, b = 4.3162 Å, c = 4.0040 Å
α = 90.00°, β = 90.00°, γ = 120.00°
Space group P3m1 (No. 156)
Symmetry-distinct sites (fractional):
1 Pm 0.0000 0.0000 0.0000 [1 per cell]
2 As 0.3333 0.6667 0.5162 [1 per cell]
3 Pt 0.6667 0.3333 0.4782 [1 per cell]

***

What should be chosen as the most stable of them? Choose run B.

***

Run A
Below is a geometry-optimized PmScAs structure, with properties calculated at the GGA-PBE level.

a = 6.706 Å, b = 6.706 Å, c = 6.706 Å
α = 90.00°, β = 90.00°, γ = 90.00°
Space group F-43m (No. 216)
Symmetry-distinct sites (fractional):
1 Pm 0.000 0.000 0.000 [4 per cell]
2 Sc 0.000 0.000 0.500 [4 per cell]
3 As 0.250 0.250 0.250 [4 per cell]

***

Run B
Below is a geometry-optimized PmScAs structure, with properties calculated at the GGA-PBE level.

a = 4.193 Å, b = 4.193 Å, c = 7.993 Å
α = 90.00°, β = 90.00°, γ = 90.00°
Space group P4/nmm (No. 129, origin choice 2)
Symmetry-distinct sites (fractional):
1 Pm 0.250 0.250 0.148 [2 per cell]
2 Sc 0.250 0.750 0.500 [2 per cell]
3 As 0.250 0.250 0.754 [2 per cell]

***

What should be chosen as the most stable of them? Choose run B.